# 1
# HfVNi3, optimized geometry, DFT PBE-GGA
# VASP energy, eV per atom: -6.11
# Crystal system: cubic
# Formation energy from the elements, meV/atom: 1175
data_HfVNi3
_cell_length_a 4.512
_cell_length_b 4.512
_cell_length_c 4.512
_cell_angle_alpha 90.00
_cell_angle_beta 90.00
_cell_angle_gamma 90.00
_space_group_name_H-M_alt 'P m -3 m'
_space_group_IT_number 221
_space_group_name_Hall '-P 4 2 3'
loop_
_atom_site_label
_atom_site_type_symbol
_atom_site_fract_x
_atom_site_fract_y
_atom_site_fract_z
Hf1 Hf 0.000 0.000 0.000
V1 V 0.500 0.500 0.500
Ni1 Ni 0.000 0.000 0.500

# 2
# NaMn3Os, optimized geometry, DFT PBE-GGA
# VASP energy, eV per atom: -7.02
# Crystal system: cubic
# Formation energy from the elements, meV/atom: 996
data_NaMn3Os
_cell_length_a 4.853
_cell_length_b 4.853
_cell_length_c 4.853
_cell_angle_alpha 90.00
_cell_angle_beta 90.00
_cell_angle_gamma 90.00
_space_group_name_H-M_alt 'P m -3 m'
_space_group_IT_number 221
_space_group_name_Hall '-P 4 2 3'
loop_
_atom_site_label
_atom_site_type_symbol
_atom_site_fract_x
_atom_site_fract_y
_atom_site_fract_z
Na1 Na 0.000 0.000 0.000
Mn1 Mn 0.000 0.500 0.500
Os1 Os 0.500 0.500 0.500

# 3
# RbSnB, optimized geometry, DFT PBE-GGA
# VASP energy, eV per atom: -3.61
# Crystal system: triclinic
# Formation energy from the elements, meV/atom: 276
data_RbSnB
_cell_length_a 5.531
_cell_length_b 5.633
_cell_length_c 6.924
_cell_angle_alpha 103.88
_cell_angle_beta 97.00
_cell_angle_gamma 110.21
_space_group_name_H-M_alt 'P 1'
_space_group_IT_number 1
_space_group_name_Hall 'P 1'
loop_
_atom_site_label
_atom_site_type_symbol
_atom_site_fract_x
_atom_site_fract_y
_atom_site_fract_z
Rb1 Rb 0.000 0.000 0.000
Rb2 Rb 0.300 0.427 0.658
Sn1 Sn 0.483 0.884 0.348
Sn2 Sn 0.703 0.453 0.201
B1 B 0.089 0.786 0.443
B2 B 0.846 0.845 0.492

# 4
# ErPuRe, optimized geometry, DFT PBE-GGA
# VASP energy, eV per atom: -10.30
# Crystal system: tetragonal
# Formation energy from the elements, meV/atom: 146
data_ErPuRe
_cell_length_a 3.344
_cell_length_b 3.344
_cell_length_c 12.300
_cell_angle_alpha 90.00
_cell_angle_beta 90.00
_cell_angle_gamma 90.00
_space_group_name_H-M_alt 'I 4 m m'
_space_group_IT_number 107
_space_group_name_Hall 'I 4 -2'
loop_
_atom_site_label
_atom_site_type_symbol
_atom_site_fract_x
_atom_site_fract_y
_atom_site_fract_z
Er1 Er 0.000 0.000 0.000
Pu1 Pu 0.000 0.000 0.278
Re1 Re 0.000 0.000 0.645

# 5
# TlAuBr2, optimized geometry, DFT PBE-GGA
# Raw formation energy, eV/atom: -0.39
# VASP energy, eV per atom: -2.64
# Crystal system: monoclinic
data_TlAuBr2
_cell_length_a 12.753
_cell_length_b 4.309
_cell_length_c 5.222
_cell_angle_alpha 90.00
_cell_angle_beta 93.97
_cell_angle_gamma 90.00
_space_group_name_H-M_alt 'C 1 m 1'
_space_group_IT_number 8
_space_group_name_Hall 'C -2y'
loop_
_atom_site_label
_atom_site_type_symbol
_atom_site_fract_x
_atom_site_fract_y
_atom_site_fract_z
Tl1 Tl 0.000 0.000 0.000
Au1 Au 0.185 0.500 0.817
Br1 Br 0.026 0.500 0.498
Br2 Br 0.279 0.000 0.019

# 6
# BaTl3Hg4, optimized geometry, DFT PBE-GGA
# VASP energy, eV per atom: -1.48
# Crystal system: trigonal
# Formation energy from the elements, meV/atom: -198
data_BaTl3Hg4
_cell_length_a 5.5478
_cell_length_b 5.5478
_cell_length_c 27.2379
_cell_angle_alpha 90.00
_cell_angle_beta 90.00
_cell_angle_gamma 120.00
_space_group_name_H-M_alt 'R -3 m'
_space_group_IT_number 166
_space_group_name_Hall '-R 3 2"'
loop_
_atom_site_label
_atom_site_type_symbol
_atom_site_fract_x
_atom_site_fract_y
_atom_site_fract_z
Ba1 Ba 0.0000 0.0000 0.0000
Tl1 Tl 0.0000 0.0000 0.2522
Tl2 Tl 0.0000 0.0000 0.5000
Hg1 Hg 0.0000 0.0000 0.1305
Hg2 Hg 0.0000 0.0000 0.3842

# 7
# La2Pd4Pb3, optimized geometry, DFT PBE-GGA
# VASP energy, eV per atom: -5.23
# Crystal system: orthorhombic
# Formation energy from the elements, meV/atom: -589
data_La2Pd4Pb3
_cell_length_a 6.509
_cell_length_b 17.353
_cell_length_c 7.461
_cell_angle_alpha 90.00
_cell_angle_beta 90.00
_cell_angle_gamma 90.00
_space_group_name_H-M_alt 'C m c e'
_space_group_IT_number 64
_space_group_name_Hall '-C 2ac 2'
loop_
_atom_site_label
_atom_site_type_symbol
_atom_site_fract_x
_atom_site_fract_y
_atom_site_fract_z
La1 La 0.000 0.105 0.081
Pd1 Pd 0.000 0.162 0.480
Pd2 Pd 0.250 0.073 0.750
Pb1 Pb 0.000 0.000 0.500
Pb2 Pb 0.250 0.239 0.750

# 8
# BaSeBr, optimized geometry, DFT PBE-GGA
# Raw formation energy, eV/atom: -1.38
# VASP energy, eV per atom: -3.74
# Crystal system: cubic
data_BaSeBr
_cell_length_a 7.779
_cell_length_b 7.779
_cell_length_c 7.779
_cell_angle_alpha 90.00
_cell_angle_beta 90.00
_cell_angle_gamma 90.00
_space_group_name_H-M_alt 'F -4 3 m'
_space_group_IT_number 216
_space_group_name_Hall 'F -4 2 3'
loop_
_atom_site_label
_atom_site_type_symbol
_atom_site_fract_x
_atom_site_fract_y
_atom_site_fract_z
Ba1 Ba 0.000 0.000 0.000
Se1 Se 0.250 0.250 0.750
Br1 Br 0.250 0.250 0.250